Record 1
{"formula": "TmTlRh4", "functional": "GGA-PBE", "state": "relaxed", "mass_density_g_cm3": 12.46, "ef_ev_per_atom": -0.368, "magmom_total_mub_per_cell": 0.00, "cell": [[0.0000, 3.7397, 3.7397], [3.7397, 0.0000, 3.7397], [3.7397, 3.7397, 0.0000]], "species": ["Tm", "Tl", "Rh", "Rh", "Rh", "Rh"], "frac_coords": [[0.0000, 0.0000, 0.0000], [0.7500, 0.7500, 0.7500], [0.3754, 0.3754, 0.3754], [0.3754, 0.3754, 0.8738], [0.3754, 0.8738, 0.3754], [0.8738, 0.3754, 0.3754]]}

---

Record 2
{"formula": "Tm4TlRh", "functional": "GGA-PBE", "state": "relaxed", "e_above_lowest_polymorph_mev_per_atom": 198, "mass_density_g_cm3": 9.58, "ef_ev_per_atom": -0.331, "magmom_total_mub_per_cell": 0.00, "cell": [[3.4242, -3.4242, 0.0000], [3.4242, 3.4242, 0.0000], [-0.0086, 0.0000, 7.2647]], "species": ["Tm", "Tm", "Tm", "Tm", "Tl", "Rh"], "frac_coords": [[0.9998, 0.4995, 0.2247], [0.0002, 0.5005, 0.7753], [0.4995, 0.9998, 0.2247], [0.5005, 0.0002, 0.7753], [0.0000, 0.0000, 0.5000], [0.5000, 0.5000, 0.0000]]}

---

Record 3
{"formula": "Tm4Tl2Rh", "functional": "GGA-PBE", "state": "relaxed", "mass_density_g_cm3": 9.99, "ef_ev_per_atom": -0.378, "magmom_total_mub_per_cell": 0.00, "cell": [[8.6193, 0.0000, 0.0000], [0.0000, 12.1710, 0.0000], [0.0000, 0.0000, 3.7631]], "species": ["Tm", "Tm", "Tm", "Tm", "Tm", "Tm", "Tm", "Tm", "Tl", "Tl", "Tl", "Tl", "Rh", "Rh"], "frac_coords": [[0.1371, 0.1946, 0.0000], [0.2061, 0.9346, 0.5000], [0.2939, 0.4346, 0.5000], [0.3629, 0.6946, 0.0000], [0.6371, 0.3054, 0.0000], [0.7061, 0.5654, 0.5000], [0.7939, 0.0654, 0.5000], [0.8629, 0.8054, 0.0000], [0.0642, 0.6449, 0.5000], [0.4358, 0.1449, 0.5000], [0.5642, 0.8551, 0.5000], [0.9358, 0.3551, 0.5000], [0.0000, 0.0000, 0.0000], [0.5000, 0.5000, 0.0000]]}

---

Record 4
{"formula": "Tm2TlRh", "functional": "GGA-PBE", "state": "relaxed", "e_above_lowest_polymorph_mev_per_atom": 0, "mass_density_g_cm3": 11.70, "ef_ev_per_atom": -0.653, "magmom_total_mub_per_cell": 0.00, "cell": [[3.4938, 0.0000, 0.0000], [0.0000, 3.4938, 0.0000], [0.0000, 0.0000, 7.5010]], "species": ["Tm", "Tm", "Tl", "Rh"], "frac_coords": [[0.0000, 0.0000, 0.2150], [0.0000, 0.0000, 0.7850], [0.5000, 0.5000, 0.5000], [0.5000, 0.5000, 0.0000]]}

---

Number 2 is which compound? Tm4TlRh